A relaxed LiSnWBr2 crystal, computed with PBE.

Unit cell a=4.7012 b=5.7142 c=4.7012 alpha=90.00 beta=90.00 gamma=90.00
Last column: nearest neighbours and their distance in Å.
Sites, in units of the cell vectors:
Br  0.0000  0.0000  0.5000  2 Li 2.35
Br  0.5000  0.0000  0.0000  2 Li 2.35
Sn  0.5000  0.5000  0.5000  4 W 3.32, 8 Br 3.70
W  0.0000  0.5000  0.0000  2 Li 2.86
Li  0.0000  0.0000  0.0000  4 Br 2.35

Calculated values
E_form (uncorrected) in eV/atom: 0.752
M_tot in μB per atom: 0.815
Crystal system: tetragonal
N(E_F) in states/eV per atom: 0.934